Record 1
The following is a PBE calculation of Ca2AuBr after structural relaxation, from Alexandria. Values from VASP.

Results
E_form (uncorrected), kJ/mol of atoms: -98
Energy above the lowest structure with this stoichiometry, meV/atom: 88

Geometry as Quantum ESPRESSO input:
```
&SYSTEM
  ibrav = 0, nat = 4, ntyp = 3
/
ATOMIC_SPECIES
Au 196.97 Au.upf
Ca 40.08 Ca.upf
Br 79.90 Br.upf
CELL_PARAMETERS angstrom
-1.905 -5.791 -0.978
4.069 -1.241 -0.577
0.346 -0.825 4.214
ATOMIC_POSITIONS angstrom
Au 1.660 -0.776 1.363
Ca 3.867 -1.810 3.182
Ca 0.698 -3.669 0.876
Br 2.906 -4.703 2.694
```

=====

Record 2
The following is a PBE calculation of NaGe2Au4 after structural relaxation, from Alexandria. Values from VASP.

Geometry as Quantum ESPRESSO input:
```
&SYSTEM
  ibrav = 0, nat = 7, ntyp = 3
/
ATOMIC_SPECIES
Au 196.97 Au.upf
Na 22.99 Na.upf
Ge 72.64 Ge.upf
CELL_PARAMETERS angstrom
-0.133 0.089 -4.660
-2.717 -3.744 0.006
-4.037 5.788 0.225
ATOMIC_POSITIONS angstrom
Au -4.920 0.708 -2.179
Au -3.278 -0.479 0.084
Au -1.968 1.424 -2.250
Au -3.476 2.523 0.147
Na 0.000 0.000 0.000
Ge -2.444 -1.089 -2.284
Ge -4.444 3.221 -2.145
```

=====

Record 3
The following is a PBE calculation of TbMgAu6 after structural relaxation, from Alexandria. Values from VASP.

Geometry as Quantum ESPRESSO input:
```
&SYSTEM
  ibrav = 0, nat = 8, ntyp = 3
/
ATOMIC_SPECIES
Au 196.97 Au.upf
Mg 24.30 Mg.upf
Tb 158.93 Tb.upf
CELL_PARAMETERS angstrom
4.200 0.000 1.147
1.962 4.592 1.078
0.087 -0.253 7.947
ATOMIC_POSITIONS angstrom
Au 4.435 2.607 8.552
Au 2.794 3.824 6.297
Au 2.653 0.892 6.813
Au 3.455 0.515 3.875
Au 1.814 1.732 1.620
Au 3.596 3.447 3.358
Mg 0.000 0.000 0.000
Tb 1.025 2.169 4.512
```

=====

Record 4
The following is a PBE calculation of Ce3Mg2Pt4 after structural relaxation, from Alexandria. Values from VASP.

Geometry as Quantum ESPRESSO input:
```
&SYSTEM
  ibrav = 0, nat = 9, ntyp = 3
/
ATOMIC_SPECIES
Pt 195.08 Pt.upf
Mg 24.30 Mg.upf
Ce 140.12 Ce.upf
CELL_PARAMETERS angstrom
-0.138 -4.206 1.542
4.935 1.686 -1.472
1.004 3.020 8.330
ATOMIC_POSITIONS angstrom
Pt 4.286 -1.337 3.251
Pt 3.832 2.490 7.139
Pt 1.515 1.837 5.149
Pt 1.969 -1.991 1.261
Mg 2.489 0.127 7.087
Mg 3.312 0.372 1.313
Ce 1.488 -1.015 3.880
Ce 0.000 0.000 0.000
Ce 4.313 1.515 4.520
```

=====

Record 5
The following is a PBE calculation of Li2NdEr after structural relaxation, from Alexandria. Values from VASP.

Results
Energy above the lowest structure with this stoichiometry, meV/atom: 138

Geometry as Quantum ESPRESSO input:
```
&SYSTEM
  ibrav = 0, nat = 4, ntyp = 3
/
ATOMIC_SPECIES
Li 6.94 Li.upf
Er 167.26 Er.upf
Nd 144.24 Nd.upf
CELL_PARAMETERS angstrom
3.340 0.000 0.000
1.670 2.893 0.000
1.670 0.964 11.909
ATOMIC_POSITIONS angstrom
Li 1.670 0.964 8.798
Li 5.011 2.893 3.111
Er 0.000 0.000 0.000
Nd 3.340 1.929 5.955
```

=====

Record 6
The following is a PBE calculation of TiPdI2O after structural relaxation, from Alexandria. Values from VASP.

Results
E_form (uncorrected), kJ/mol of atoms: 63
Energy above the lowest structure with this stoichiometry, meV/atom: 1382

Geometry as Quantum ESPRESSO input:
```
&SYSTEM
  ibrav = 0, nat = 5, ntyp = 4
/
ATOMIC_SPECIES
O 16.00 O.upf
Pd 106.42 Pd.upf
I 126.90 I.upf
Ti 47.87 Ti.upf
CELL_PARAMETERS angstrom
-4.054 -1.578 -3.112
0.482 -4.573 1.691
-3.449 1.093 3.939
ATOMIC_POSITIONS angstrom
O -3.511 -2.529 1.259
Pd 0.241 -2.286 0.846
I -1.725 0.547 1.970
I -2.027 -0.789 -1.556
Ti 0.000 0.000 0.000
```

=====

V values (in Å³ per cell) by entry order: 114; 144; 153; 197; 115; 140.
Electronic total energy values (in eV/atom) by entry order: -3.259; -3.511; -3.761; -5.925; -3.001; -3.580.